# 1
Sc6Cu2Sn | PBE | relaxed

```
Sc6Cu2Sn
1.0
0.832 -0.825 -7.859
0.478 -6.994 3.740
-7.153 2.988 1.741
Sc Cu Sn
12 4 2
direct
0.529 0.716 0.813 Sc
0.471 0.284 0.187 Sc
0.097 0.284 0.813 Sc
0.903 0.716 0.187 Sc
0.790 0.764 0.553 Sc
0.210 0.236 0.447 Sc
0.210 0.764 0.974 Sc
0.790 0.236 0.026 Sc
0.705 0.387 0.681 Sc
0.295 0.613 0.319 Sc
0.295 0.976 0.681 Sc
0.705 0.024 0.319 Sc
0.500 0.374 0.874 Cu
0.500 0.626 0.126 Cu
0.642 0.000 0.642 Cu
0.358 0.000 0.358 Cu
0.000 0.500 0.500 Sn
0.000 0.000 0.000 Sn
```

Values from the calculation:
Magnetization, Bohr magnetons per cell: 0.00
Formation energy, meV/atom: -297
Density, g/cm3: 4.44
VASP energy, eV per cell: -105.7
Fermi-level density of states, states/eV per atom: 1.03

---

# 2
Pa2TeSe2O2 | PBE | relaxed

```
Pa2TeSe2O2
1.0
-2.633 2.030 2.015
-2.443 -1.834 2.404
6.365 1.388 10.669
Pa Te Se O
2 1 2 2
direct
0.735 0.735 0.795 Pa
0.265 0.265 0.205 Pa
0.000 0.000 0.000 Te
0.118 0.118 0.647 Se
0.882 0.882 0.353 Se
0.604 0.604 0.187 O
0.396 0.396 0.813 O
```

Values from the calculation:
Magnetization, Bohr magnetons per cell: 0.00
Density, g/cm3: 8.04
VASP energy, eV per cell: -54.0
Raw formation energy, meV/atom: -2141
Fermi-level density of states, states/eV per atom: 0.49

---

# 3
MnIrW2 | PBE | relaxed

```
MnIrW2
1.0
-3.511 -0.734 2.548
0.538 -1.366 4.147
-0.897 2.714 3.344
Ir Mn W
1 1 2
direct
0.500 0.500 0.500 Ir
0.750 0.750 0.750 Mn
0.000 0.000 0.000 W
0.250 0.250 0.250 W
```

Values from the calculation:
Magnetization, Bohr magnetons per cell: 3.41
Formation energy, meV/atom: 52
Relative energy among the computed polymorphs, meV per atom: 96
Density, g/cm3: 16.95
VASP energy, eV per cell: -43.7
Fermi-level density of states, states/eV per atom: 0.69